Material: Ce6Cd4Pd13
Method: DFT, GGA-PBE
State: relaxed

Energy   -5.31 eV per atom
E_form   -0.665 eV per atom
Total magnetic moment   5.04 μB/cell

a = 8.512 Å, b = 8.512 Å, c = 8.512 Å
α = 109.47°, β = 109.47°, γ = 109.47°
Sites, in units of the cell vectors:
Ce  0.300  0.000  0.300
Ce  0.700  0.000  0.700
Ce  0.300  0.300  0.000
Ce  0.700  0.700  0.000
Ce  0.000  0.300  0.300
Ce  0.000  0.700  0.700
Cd  0.500  0.000  0.000
Cd  0.000  0.000  0.500
Cd  0.000  0.500  0.000
Cd  0.500  0.500  0.500
Pd  0.000  0.000  0.000
Pd  0.345  0.000  0.655
Pd  0.655  0.000  0.345
Pd  0.345  0.691  0.345
Pd  0.655  0.309  0.655
Pd  0.655  0.345  0.000
Pd  0.345  0.655  0.000
Pd  0.345  0.345  0.691
Pd  0.655  0.655  0.309
Pd  0.000  0.655  0.345
Pd  0.000  0.345  0.655
Pd  0.691  0.345  0.345
Pd  0.309  0.655  0.655